! Ca3Zn2Ga PBE optimized geometry; values from VASP
! DOS at the Fermi energy: 4.1 states/eV per cell
! Distance to the lowest polymorph of the same formula: 9 meV per atom
! Symmetry: No. 123
&SYSTEM
  ibrav = 0, nat = 6, ntyp = 3
/
ATOMIC_SPECIES
Zn 65.41 Zn.upf
Ga 69.72 Ga.upf
Ca 40.08 Ca.upf
CELL_PARAMETERS angstrom
-2.0490 1.4018 -2.7375
-2.1281 -3.0210 0.0460
-6.5497 4.7253 7.3220
ATOMIC_POSITIONS crystal
Zn 0.5000 0.5000 0.8291
Zn 0.5000 0.5000 0.1709
Ga 0.5000 0.5000 0.5000
Ca 0.0000 0.0000 0.6652
Ca 0.0000 0.0000 0.0000
Ca 0.0000 0.0000 0.3348

***

! Ca2ZnGa PBE optimized geometry; values from VASP
! DOS at the Fermi energy: 8.6 states/eV per cell
! Symmetry: No. 122
! Energy: -2.089 eV/atom
&SYSTEM
  ibrav = 0, nat = 8, ntyp = 3
/
ATOMIC_SPECIES
Ca 40.08 Ca.upf
Ga 69.72 Ga.upf
Zn 65.41 Zn.upf
CELL_PARAMETERS angstrom
8.1513 0.0000 0.0000
0.0000 8.1513 0.0000
4.0756 4.0756 3.4530
ATOMIC_POSITIONS crystal
Ca 0.6233 0.1250 0.2500
Ca 0.1267 0.6250 0.2500
Ca 0.3750 0.3767 0.7500
Ca 0.8750 0.8733 0.7500
Ga 0.0000 0.0000 0.0000
Ga 0.7500 0.2500 0.5000
Zn 0.5000 0.5000 0.0000
Zn 0.2500 0.7500 0.5000

***

! CaZn7Ga12 PBE optimized geometry; values from VASP
! DOS at the Fermi energy: 11.0 states/eV per cell
! Symmetry: No. 204
! Energy: -2.269 eV/atom
&SYSTEM
  ibrav = 0, nat = 20, ntyp = 3
/
ATOMIC_SPECIES
Ga 69.72 Ga.upf
Zn 65.41 Zn.upf
Ca 40.08 Ca.upf
CELL_PARAMETERS angstrom
-0.1002 -4.3124 7.0154
1.4563 -5.0742 -6.3209
5.9318 5.7011 0.3666
ATOMIC_POSITIONS crystal
Ga 0.6052 0.3548 0.2504
Ga 0.3948 0.6452 0.7496
Ga 0.7496 0.3948 0.6452
Ga 0.7496 0.1044 0.3548
Ga 0.8956 0.6452 0.2504
Ga 0.2504 0.6052 0.3548
Ga 0.3548 0.2504 0.6052
Ga 0.2504 0.8956 0.6452
Ga 0.1044 0.3548 0.7496
Ga 0.3548 0.7496 0.1044
Ga 0.6452 0.7496 0.3948
Ga 0.6452 0.2504 0.8956
Zn 0.5000 0.5000 0.5000
Zn 0.0000 0.0000 0.5000
Zn 0.5000 0.0000 0.0000
Zn 0.5000 0.0000 0.5000
Zn 0.5000 0.5000 0.0000
Zn 0.0000 0.5000 0.5000
Zn 0.0000 0.5000 0.0000
Ca 0.0000 0.0000 0.0000